# Cs3Ho3PaS8

An optimized crystal structure of Cs3Ho3PaS8 (PBE, Alexandria via LeMat-Bulk).

The value obtained for the total magnetization is 3.03 μB per cell. For the energy, the calculation gives -5.73 eV/atom. As for the density: 4.9 g/cm³. Its crystal system is trigonal.

The structure belongs to space group R-3m (No. 166, hexagonal axes); the cell edges are 8.1121, 8.1121 and 24.5988 Å and the angles 90.00°, 90.00° and 120.00°. The distinct sites, in fractional coordinates, are Cs at (0.0000, 0.5000, 0.0000), Ho at (0.0000, 0.5000, 0.5000), Pa at (0.0000, 0.0000, 0.5000), S at (0.0000, 0.0000, 0.2261) and S at (0.0020, 0.5010, 0.2258).

# Cs2HoPaSe4

An optimized crystal structure of Cs2HoPaSe4 (PBE, Alexandria via LeMat-Bulk).

The value obtained for the total magnetization is 1.87 μB per cell. For the energy, the calculation gives -5.20 eV/atom. As for the density: 6.2 g/cm³. Its crystal system is monoclinic.

The structure belongs to space group P2/m (No. 10); the cell edges are 7.372, 4.222 and 8.786 Å and the angles 90.00°, 105.97° and 90.00°. The distinct sites, in fractional coordinates, are Cs at (0.000, 0.000, 0.000), Cs at (0.500, 0.500, 0.000), Ho at (0.000, 0.500, 0.500), Pa at (0.500, 0.000, 0.500), Se at (0.228, 0.000, 0.686) and Se at (0.267, 0.500, 0.311).

# CsHoPaSe4

An optimized crystal structure of CsHoPaSe4 (PBE, Alexandria via LeMat-Bulk).

The value obtained for the total magnetization is 4.04 μB per cell. For the energy, the calculation gives -5.57 eV/atom. As for the density: 5.5 g/cm³. Its crystal system is orthorhombic.

The structure belongs to space group Imma (No. 74); the cell edges are 9.012, 9.137 and 12.438 Å and the angles 90.00°, 90.00° and 90.00°. The distinct sites, in fractional coordinates, are Cs at (0.000, 0.250, 0.130), Ho at (0.250, 0.250, 0.750), Pa at (0.000, 0.000, 0.500), Se at (0.000, 0.051, 0.729) and Se at (0.200, 0.250, 0.518).

# Cs3HoPa3Te8

An optimized crystal structure of Cs3HoPa3Te8 (PBE, Alexandria via LeMat-Bulk).

The value obtained for the total magnetization is 15.07 μB per cell. For the energy, the calculation gives -5.08 eV/atom. As for the density: 6.0 g/cm³. Its crystal system is trigonal.

The structure belongs to space group R-3m (No. 166, hexagonal axes); the cell edges are 8.8437, 8.8437 and 27.8045 Å and the angles 90.00°, 90.00° and 120.00°. The distinct sites, in fractional coordinates, are Cs at (0.0000, 0.5000, 0.0000), Ho at (0.0000, 0.0000, 0.5000), Pa at (0.0000, 0.5000, 0.5000), Te at (0.0000, 0.0000, 0.2320) and Te at (0.0005, 0.5003, 0.2307).

# CsHoPb2

An optimized crystal structure of CsHoPb2 (PBE, Alexandria via LeMat-Bulk).

The value obtained for the total magnetization is 0.00 μB per cell. The formation energy from the elements comes out at -0.30 eV/atom. As for the density: 8.0 g/cm³. Its crystal system is tetragonal.

The structure belongs to space group P4/mmm (No. 123); the cell edges are 4.143, 4.143 and 8.666 Å and the angles 90.00°, 90.00° and 90.00°. The distinct sites, in fractional coordinates, are Cs at (0.000, 0.000, 0.000), Ho at (0.000, 0.000, 0.500) and Pb at (0.500, 0.500, 0.320).

# CsHoPb2

An optimized crystal structure of CsHoPb2 (PBE, Alexandria via LeMat-Bulk).

The value obtained for the total magnetization is 0.00 μB per cell. The formation energy from the elements comes out at -0.13 eV/atom. As for the density: 8.2 g/cm³. Its crystal system is trigonal.

The structure belongs to space group R-3m (No. 166, hexagonal axes); the cell edges are 3.8280, 3.8280 and 34.0951 Å and the angles 90.00°, 90.00° and 120.00°. The distinct sites, in fractional coordinates, are Cs at (0.0000, 0.0000, 0.0000), Ho at (0.0000, 0.0000, 0.5000) and Pb at (0.0000, 0.0000, 0.2392).

# Cs3Ho2PbS6

An optimized crystal structure of Cs3Ho2PbS6 (PBE, Alexandria via LeMat-Bulk).

The value obtained for the total magnetization is 0.00 μB per cell. For the energy, the calculation gives -4.76 eV/atom. As for the density: 5.2 g/cm³. Its crystal system is monoclinic.

The structure belongs to space group C2/m (No. 12); the cell edges are 7.181, 12.447 and 8.398 Å and the angles 90.00°, 106.49° and 90.00°. The distinct sites, in fractional coordinates, are Cs at (0.000, 0.000, 0.000), Cs at (0.000, 0.337, 0.000), Ho at (0.000, 0.167, 0.500), Pb at (0.000, 0.500, 0.500), S at (0.214, 0.000, 0.683) and S at (0.235, 0.326, 0.685).

# Cs3Pm2HoS6

An optimized crystal structure of Cs3Pm2HoS6 (PBE, Alexandria via LeMat-Bulk).

The value obtained for the total magnetization is 0.00 μB per cell. For the energy, the calculation gives -5.27 eV/atom. As for the density: 4.7 g/cm³. Its crystal system is monoclinic.

The structure belongs to space group C2/m (No. 12); the cell edges are 7.234, 12.529 and 8.435 Å and the angles 90.00°, 106.61° and 90.00°. The distinct sites, in fractional coordinates, are Cs at (0.000, 0.000, 0.000), Cs at (0.000, 0.332, 0.000), Pm at (0.000, 0.167, 0.500), Ho at (0.000, 0.500, 0.500), S at (0.224, 0.337, 0.684) and S at (0.236, 0.000, 0.684).

# Cs4Pm3HoS8

An optimized crystal structure of Cs4Pm3HoS8 (PBE, Alexandria via LeMat-Bulk).

The value obtained for the total magnetization is 0.00 μB per cell. For the energy, the calculation gives -5.27 eV/atom. As for the density: 4.7 g/cm³. Its crystal system is trigonal.

The structure belongs to space group R-3m (No. 166, hexagonal axes); the cell edges are 8.3745, 8.3745 and 24.2592 Å and the angles 90.00°, 90.00° and 120.00°. The distinct sites, in fractional coordinates, are Cs at (0.0000, 0.0000, 0.0000), Cs at (0.0000, 0.5000, 0.0000), Pm at (0.0000, 0.5000, 0.5000), Ho at (0.0000, 0.0000, 0.5000), S at (0.0000, 0.0000, 0.2288) and S at (0.0069, 0.5034, 0.2279).

# Cs2PmHoS4

An optimized crystal structure of Cs2PmHoS4 (PBE, Alexandria via LeMat-Bulk).

The value obtained for the total magnetization is 0.00 μB per cell. For the energy, the calculation gives -5.26 eV/atom. As for the density: 4.8 g/cm³. Its crystal system is monoclinic.

The structure belongs to space group P2/m (No. 10); the cell edges are 7.197, 4.153 and 8.426 Å and the angles 90.00°, 106.52° and 90.00°. The distinct sites, in fractional coordinates, are Cs at (0.000, 0.000, 0.000), Cs at (0.500, 0.500, 0.000), Pm at (0.000, 0.500, 0.500), Ho at (0.500, 0.000, 0.500), S at (0.235, 0.000, 0.684) and S at (0.280, 0.500, 0.318).

# Cs3PmHo2Se6

An optimized crystal structure of Cs3PmHo2Se6 (PBE, Alexandria via LeMat-Bulk).

The value obtained for the total magnetization is 0.00 μB per cell. For the energy, the calculation gives -4.84 eV/atom. As for the density: 5.6 g/cm³. Its crystal system is monoclinic.

The structure belongs to space group C2/m (No. 12); the cell edges are 7.433, 12.875 and 8.740 Å and the angles 90.00°, 106.47° and 90.00°. The distinct sites, in fractional coordinates, are Cs at (0.000, 0.000, 0.000), Cs at (0.000, 0.335, 0.000), Pm at (0.000, 0.500, 0.500), Ho at (0.000, 0.167, 0.500), Se at (0.221, 0.000, 0.686) and Se at (0.232, 0.330, 0.686).

# Cs3Pm3HoSe8

An optimized crystal structure of Cs3Pm3HoSe8 (PBE, Alexandria via LeMat-Bulk).

The value obtained for the total magnetization is 0.00 μB per cell. For the energy, the calculation gives -4.95 eV/atom. As for the density: 5.0 g/cm³. Its crystal system is triclinic.

The structure belongs to space group P-1 (No. 2); the cell edges are 8.564, 8.571 and 9.899 Å and the angles 64.37°, 64.38° and 60.03°. The distinct sites, in fractional coordinates, are Cs at (0.000, 0.000, 0.000), Cs at (0.000, 0.500, 0.000), Cs at (0.500, 0.000, 0.000), Pm at (0.000, 0.500, 0.500), Pm at (0.500, 0.000, 0.500), Pm at (0.500, 0.500, 0.500), Ho at (0.000, 0.000, 0.500), Se at (0.224, 0.225, 0.316), Se at (0.224, 0.736, 0.316), Se at (0.264, 0.776, 0.684) and Se at (0.271, 0.270, 0.690).

# Cs2PmHoSe4

An optimized crystal structure of Cs2PmHoSe4 (PBE, Alexandria via LeMat-Bulk).

The value obtained for the total magnetization is 0.00 μB per cell. For the energy, the calculation gives -4.85 eV/atom. As for the density: 5.5 g/cm³. Its crystal system is monoclinic.

The structure belongs to space group P2/m (No. 10); the cell edges are 7.473, 4.312 and 8.748 Å and the angles 90.00°, 106.53° and 90.00°. The distinct sites, in fractional coordinates, are Cs at (0.000, 0.000, 0.000), Cs at (0.500, 0.500, 0.000), Pm at (0.000, 0.500, 0.500), Ho at (0.500, 0.000, 0.500), Se at (0.236, 0.000, 0.688) and Se at (0.278, 0.500, 0.314).

# Cs3Pm2HoSe6

An optimized crystal structure of Cs3Pm2HoSe6 (PBE, Alexandria via LeMat-Bulk).

The value obtained for the total magnetization is 0.00 μB per cell. For the energy, the calculation gives -4.86 eV/atom. As for the density: 5.4 g/cm³. Its crystal system is monoclinic.

The structure belongs to space group C2/m (No. 12); the cell edges are 7.504, 12.999 and 8.757 Å and the angles 90.00°, 106.60° and 90.00°. The distinct sites, in fractional coordinates, are Cs at (0.000, 0.000, 0.000), Cs at (0.000, 0.332, 0.000), Pm at (0.000, 0.167, 0.500), Ho at (0.000, 0.500, 0.500), Se at (0.226, 0.337, 0.688) and Se at (0.237, 0.000, 0.688).

# Cs3Pm2HoTe6

An optimized crystal structure of Cs3Pm2HoTe6 (PBE, Alexandria via LeMat-Bulk).

The value obtained for the total magnetization is 0.00 μB per cell. For the energy, the calculation gives -4.36 eV/atom. As for the density: 5.4 g/cm³. Its crystal system is monoclinic.

The structure belongs to space group C2/m (No. 12); the cell edges are 7.992, 13.843 and 9.323 Å and the angles 90.00°, 106.61° and 90.00°. The distinct sites, in fractional coordinates, are Cs at (0.000, 0.000, 0.000), Cs at (0.000, 0.331, 0.000), Pm at (0.000, 0.166, 0.500), Ho at (0.000, 0.500, 0.500), Te at (0.227, 0.337, 0.692) and Te at (0.238, 0.000, 0.693).

# Cs3PmHo3Te8

An optimized crystal structure of Cs3PmHo3Te8 (PBE, Alexandria via LeMat-Bulk).

The value obtained for the total magnetization is 0.00 μB per cell. For the energy, the calculation gives -4.40 eV/atom. As for the density: 5.4 g/cm³. Its crystal system is trigonal.

The structure belongs to space group R-3m (No. 166, hexagonal axes); the cell edges are 8.8803, 8.8803 and 27.5652 Å and the angles 90.00°, 90.00° and 120.00°. The distinct sites, in fractional coordinates, are Cs at (0.0000, 0.5000, 0.0000), Pm at (0.0000, 0.0000, 0.5000), Ho at (0.0000, 0.5000, 0.5000), Te at (0.0000, 0.0000, 0.2298) and Te at (0.0095, 0.5048, 0.7692).

# CsPrHo4S8

An optimized crystal structure of CsPrHo4S8 (PBE, Alexandria via LeMat-Bulk).

The value obtained for the total magnetization is 0.00 μB per cell. For the energy, the calculation gives -5.92 eV/atom. As for the density: 4.8 g/cm³. Its crystal system is trigonal.

The structure belongs to space group R3m (No. 160, hexagonal axes); the cell edges are 8.2642, 8.2642 and 21.0560 Å and the angles 90.00°, 90.00° and 120.00°. The distinct sites, in fractional coordinates, are Cs at (0.0000, 0.0000, 0.0000), Pr at (0.0000, 0.0000, 0.3612), Ho at (0.0000, 0.0000, 0.7412), Ho at (0.0106, 0.5053, 0.8686), S at (0.0000, 0.0000, 0.1415), S at (0.0000, 0.0000, 0.6106), S at (0.0133, 0.5067, 0.1205) and S at (0.1908, 0.3816, 0.9382).

# Cs2PrHoSe4

An optimized crystal structure of Cs2PrHoSe4 (PBE, Alexandria via LeMat-Bulk).

The value obtained for the total magnetization is 0.00 μB per cell. For the energy, the calculation gives -4.84 eV/atom. As for the density: 5.4 g/cm³. Its crystal system is monoclinic.

The structure belongs to space group P2/m (No. 10); the cell edges are 7.526, 4.343 and 8.762 Å and the angles 90.00°, 106.60° and 90.00°. The distinct sites, in fractional coordinates, are Cs at (0.000, 0.000, 0.000), Cs at (0.500, 0.500, 0.000), Pr at (0.000, 0.500, 0.500), Ho at (0.500, 0.000, 0.500), Se at (0.240, 0.000, 0.690) and Se at (0.281, 0.500, 0.314).

# Cs4Pr3HoSe8

An optimized crystal structure of Cs4Pr3HoSe8 (PBE, Alexandria via LeMat-Bulk).

The value obtained for the total magnetization is 0.00 μB per cell. For the energy, the calculation gives -4.86 eV/atom. As for the density: 5.2 g/cm³. Its crystal system is trigonal.

The structure belongs to space group R-3m (No. 166, hexagonal axes); the cell edges are 8.7803, 8.7803 and 25.2296 Å and the angles 90.00°, 90.00° and 120.00°. The distinct sites, in fractional coordinates, are Cs at (0.0000, 0.0000, 0.0000), Cs at (0.0000, 0.5000, 0.0000), Pr at (0.0000, 0.5000, 0.5000), Ho at (0.0000, 0.0000, 0.5000), Se at (0.0000, 0.0000, 0.2310) and Se at (0.0097, 0.5049, 0.2296).

# Cs4PrHo3Te8

An optimized crystal structure of Cs4PrHo3Te8 (PBE, Alexandria via LeMat-Bulk).

The value obtained for the total magnetization is 0.00 μB per cell. For the energy, the calculation gives -4.33 eV/atom. As for the density: 5.6 g/cm³. Its crystal system is trigonal.

The structure belongs to space group R-3m (No. 166, hexagonal axes); the cell edges are 9.1651, 9.1651 and 26.7840 Å and the angles 90.00°, 90.00° and 120.00°. The distinct sites, in fractional coordinates, are Cs at (0.0000, 0.0000, 0.0000), Cs at (0.0000, 0.5000, 0.0000), Pr at (0.0000, 0.0000, 0.5000), Ho at (0.0000, 0.5000, 0.5000), Te at (0.0000, 0.0000, 0.2292) and Te at (0.0090, 0.5045, 0.7695).

# Cs3HoPu2S6

An optimized crystal structure of Cs3HoPu2S6 (PBE, Alexandria via LeMat-Bulk).

The value obtained for the total magnetization is 20.00 μB per cell. For the energy, the calculation gives -6.67 eV/atom. As for the density: 5.8 g/cm³. Its crystal system is monoclinic.

The structure belongs to space group C2/m (No. 12); the cell edges are 7.178, 12.432 and 8.391 Å and the angles 90.00°, 106.56° and 90.00°. The distinct sites, in fractional coordinates, are Cs at (0.000, 0.000, 0.000), Cs at (0.000, 0.334, 0.000), Ho at (0.000, 0.500, 0.500), Pu at (0.000, 0.167, 0.500), S at (0.225, 0.335, 0.680) and S at (0.229, 0.000, 0.680).